The following is a GGA-PBE calculation of an optimized crystal structure of Ce6GaTe5, from the Alexandria database.

The structure in CIF format:
```
data_Ce6GaTe5
_cell_length_a 7.763
_cell_length_b 13.385
_cell_length_c 7.705
_cell_angle_alpha 90.00
_cell_angle_beta 109.50
_cell_angle_gamma 90.00
_space_group_name_H-M_alt 'C 1 2/m 1'
_space_group_IT_number 12
loop_
_space_group_symop_operation_xyz
'x,y,z'
'-x,-y,-z'
'-x,y,-z'
'x,-y,z'
'x+1/2,y+1/2,z'
'-x+1/2,-y+1/2,-z'
'-x+1/2,y+1/2,-z'
'x+1/2,-y+1/2,z'
loop_
_atom_site_label
_atom_site_fract_x
_atom_site_fract_y
_atom_site_fract_z
Ce1 0.237 0.000 0.253
Ce2 0.240 0.160 0.740
Ga1 0.000 0.000 0.500
Te1 0.000 0.173 0.000
Te2 0.000 0.335 0.500
Te3 0.000 0.500 0.000
```

## Properties
DOS(E_F), states/eV per cell: 84.89
Raw formation energy, eV per formula unit: -14.44


The following is a GGA-PBE calculation of an optimized crystal structure of KV2Mo, from the Alexandria database.

The structure in CIF format:
```
data_KV2Mo
_cell_length_a 5.618
_cell_length_b 5.618
_cell_length_c 15.250
_cell_angle_alpha 90.00
_cell_angle_beta 90.00
_cell_angle_gamma 90.00
_space_group_name_H-M_alt 'I 41/a m d'
_space_group_IT_number 141
loop_
_space_group_symop_operation_xyz
'x,y,z'
'-x,-y,-z'
'-y+1/4,x+3/4,z+1/4'
'y+1/4,-x+3/4,-z+1/4'
'-x+1/2,-y,z+1/2'
'x+1/2,y,-z+1/2'
'y+1/4,-x+1/4,z+3/4'
'-y+1/4,x+1/4,-z+3/4'
'x,-y,-z'
'-x,y,z'
'-y+1/4,-x+1/4,-z+3/4'
'y+1/4,x+1/4,z+3/4'
'-x+1/2,y,-z+1/2'
'x+1/2,-y,z+1/2'
'y+1/4,x+3/4,-z+1/4'
'-y+1/4,-x+3/4,z+1/4'
'x+1/2,y+1/2,z+1/2'
'-x+1/2,-y+1/2,-z+1/2'
'-y+3/4,x+1/4,z+3/4'
'y+3/4,-x+1/4,-z+3/4'
'-x,-y+1/2,z'
'x,y+1/2,-z'
'y+3/4,-x+3/4,z+1/4'
'-y+3/4,x+3/4,-z+1/4'
'x+1/2,-y+1/2,-z+1/2'
'-x+1/2,y+1/2,z+1/2'
'-y+3/4,-x+3/4,-z+1/4'
'y+3/4,x+3/4,z+1/4'
'-x,y+1/2,-z'
'x,-y+1/2,z'
'y+3/4,x+1/4,-z+3/4'
'-y+3/4,-x+1/4,z+3/4'
loop_
_atom_site_label
_atom_site_fract_x
_atom_site_fract_y
_atom_site_fract_z
K1 0.000 0.250 0.375
V1 0.000 0.000 0.000
Mo1 0.000 0.250 0.875
```

## Properties
DOS(E_F), states/eV per cell: 21.93
E_form, eV/atom: 1.660


The following is a GGA-PBE calculation of an optimized crystal structure of NiRh4Au, from the Alexandria database.

The structure in CIF format:
```
data_NiRh4Au
_cell_length_a 7.233
_cell_length_b 7.233
_cell_length_c 7.233
_cell_angle_alpha 90.00
_cell_angle_beta 90.00
_cell_angle_gamma 90.00
_space_group_name_H-M_alt 'F -4 3 m'
_space_group_IT_number 216
_space_group_name_Hall 'F -4 2 3'
loop_
_atom_site_label
_atom_site_fract_x
_atom_site_fract_y
_atom_site_fract_z
Ni1 0.000 0.000 0.000
Rh1 0.125 0.125 0.625
Au1 0.250 0.250 0.250
```

## Properties
DOS(E_F), states/eV per cell: 50.68
E_form, eV/atom: 0.487


Look up the DOS(E_F) of the second one.
21.93 states/eV per cell


The lowest DOS(E_F) belongs to which entry?
KV2Mo


Please write out number 1 again, unchanged.
The following is a GGA-PBE calculation of an optimized crystal structure of Ce6GaTe5, from the Alexandria database.

The structure in CIF format:
```
data_Ce6GaTe5
_cell_length_a 7.763
_cell_length_b 13.385
_cell_length_c 7.705
_cell_angle_alpha 90.00
_cell_angle_beta 109.50
_cell_angle_gamma 90.00
_space_group_name_H-M_alt 'C 1 2/m 1'
_space_group_IT_number 12
loop_
_space_group_symop_operation_xyz
'x,y,z'
'-x,-y,-z'
'-x,y,-z'
'x,-y,z'
'x+1/2,y+1/2,z'
'-x+1/2,-y+1/2,-z'
'-x+1/2,y+1/2,-z'
'x+1/2,-y+1/2,z'
loop_
_atom_site_label
_atom_site_fract_x
_atom_site_fract_y
_atom_site_fract_z
Ce1 0.237 0.000 0.253
Ce2 0.240 0.160 0.740
Ga1 0.000 0.000 0.500
Te1 0.000 0.173 0.000
Te2 0.000 0.335 0.500
Te3 0.000 0.500 0.000
```

## Properties
DOS(E_F), states/eV per cell: 84.89
Raw formation energy, eV per formula unit: -14.44